1 | Computed, not measured: YScCr2 after structural relaxation at the PBE-GGA level of DFT.

Output
DOS(E_F) (states/eV/cell): 2.6
Symmetry: No. 225

extended XYZ file:
```
4
Lattice="0.000 3.428 3.428 3.428 0.000 3.428 3.428 3.428 0.000" Properties=species:S:1:pos:R:3 pbc="T T T"
Y 3.428 3.428 3.428
Cr 1.714 1.714 1.714
Cr 5.142 5.142 5.142
Sc 0.000 0.000 0.000
```

---

2 | Computed, not measured: YScCr2 after structural relaxation at the PBE-GGA level of DFT.

Output
DOS(E_F) (states/eV/cell): 2.9
Symmetry: No. 123

extended XYZ file:
```
4
Lattice="-3.642 1.725 -2.697 0.436 -3.780 -3.006 -2.243 -1.769 1.898" Properties=species:S:1:pos:R:3 pbc="T T T"
Cr 0.000 0.000 0.000
Cr -1.603 -1.027 -2.852
Sc -2.942 -0.022 -0.400
Y -0.904 -2.774 -0.554
```

---

Winner for stability: 1